A relaxed structure of Ag2IrAu. Source: the Alexandria database, functional PBE.

Unit cell a=4.9282 b=2.7613 c=4.9993 alpha=88.45 beta=90.00 gamma=90.00
With the nearest neighbours (Å) after each atom.
Sites, in units of the cell vectors:
Ir: 0.5000 0.7500 0.7500  2 Ir 2.76, 4 Au 2.82-2.89, 4 Ag 2.85
Au: 0.5000 0.2500 0.2500  2 Au 2.76, 4 Ir 2.82-2.89, 4 Ag 2.86
Ag: 0.0000 0.0080 0.9957  6 Ag 2.76-2.90, 2 Ir 2.85, 2 Au 2.86
Ag: 0.0000 0.4920 0.5043  6 Ag 2.76-2.90, 2 Ir 2.85, 2 Au 2.86

Energy of formation from the pure elements   0.299 eV/atom
E above lowest polymorph   0.082 eV per atom